(1)
Ti4Mn3Co | PBE | optimized geometry

Values from the calculation:
Total magnetic moment ... 0.16 μB per atom
Energy of formation from the pure elements ... -2.52 eV per formula unit
DFT total energy ... -8.5895 eV/atom
SG ... Pmmm
D(E_F) ... 0.921 states/eV per atom

Cell: 2.9864 4.2165 8.3618 Å, 90.00 90.00 90.00°
Fractional positions:
Ti: 0.0000 0.0000 0.0000
Ti: 0.0000 0.5000 0.2521
Ti: 0.0000 0.5000 0.7479
Ti: 0.0000 0.0000 0.5000
Mn: 0.5000 0.0000 0.2472
Mn: 0.5000 0.0000 0.7528
Mn: 0.5000 0.5000 0.5000
Co: 0.5000 0.5000 0.0000

(2)
Na3Tl8Sn2 | PBE | optimized geometry

Values from the calculation:
Total magnetic moment ... 0.00 μB per atom
Energy of formation from the pure elements ... 0.43 eV per formula unit
DFT total energy ... -2.3431 eV/atom
SG ... R-3m
D(E_F) ... 0.711 states/eV per atom

Cell: 6.4042 6.4042 12.2282 Å, 74.82 74.82 60.00°
Fractional positions:
Na: 0.8137 0.8137 0.5589
Na: 0.1863 0.1863 0.4411
Na: 0.0000 0.0000 0.0000
Tl: 0.7759 0.2720 0.6802
Tl: 0.2241 0.7280 0.3198
Tl: 0.2720 0.7759 0.6802
Tl: 0.2720 0.2720 0.6802
Tl: 0.2793 0.2793 0.1620
Tl: 0.7280 0.7280 0.3198
Tl: 0.7280 0.2241 0.3198
Tl: 0.7207 0.7207 0.8380
Sn: 0.3658 0.3658 0.9025
Sn: 0.6342 0.6342 0.0975

What did the second record say?
Na3Tl8Sn2 | PBE | optimized geometry

Values from the calculation:
Total magnetic moment ... 0.00 μB per atom
Energy of formation from the pure elements ... 0.43 eV per formula unit
DFT total energy ... -2.3431 eV/atom
SG ... R-3m
D(E_F) ... 0.711 states/eV per atom

Cell: 6.4042 6.4042 12.2282 Å, 74.82 74.82 60.00°
Fractional positions:
Na: 0.8137 0.8137 0.5589
Na: 0.1863 0.1863 0.4411
Na: 0.0000 0.0000 0.0000
Tl: 0.7759 0.2720 0.6802
Tl: 0.2241 0.7280 0.3198
Tl: 0.2720 0.7759 0.6802
Tl: 0.2720 0.2720 0.6802
Tl: 0.2793 0.2793 0.1620
Tl: 0.7280 0.7280 0.3198
Tl: 0.7280 0.2241 0.3198
Tl: 0.7207 0.7207 0.8380
Sn: 0.3658 0.3658 0.9025
Sn: 0.6342 0.6342 0.0975

> What is the formula in the first record?

Ti4Mn3Co

Repeat the second record exactly.
Na3Tl8Sn2 | PBE | optimized geometry

Values from the calculation:
Total magnetic moment ... 0.00 μB per atom
Energy of formation from the pure elements ... 0.43 eV per formula unit
DFT total energy ... -2.3431 eV/atom
SG ... R-3m
D(E_F) ... 0.711 states/eV per atom

Cell: 6.4042 6.4042 12.2282 Å, 74.82 74.82 60.00°
Fractional positions:
Na: 0.8137 0.8137 0.5589
Na: 0.1863 0.1863 0.4411
Na: 0.0000 0.0000 0.0000
Tl: 0.7759 0.2720 0.6802
Tl: 0.2241 0.7280 0.3198
Tl: 0.2720 0.7759 0.6802
Tl: 0.2720 0.2720 0.6802
Tl: 0.2793 0.2793 0.1620
Tl: 0.7280 0.7280 0.3198
Tl: 0.7280 0.2241 0.3198
Tl: 0.7207 0.7207 0.8380
Sn: 0.3658 0.3658 0.9025
Sn: 0.6342 0.6342 0.0975